SrCoPtO4: optimized geometry, PBE+U.

The structure in POSCAR format:
```
SrCoPtO4
1.0
3.077 -4.631 0.000
3.077 4.631 0.000
0.000 0.000 7.208
Sr Co Pt O
2 2 2 8
Cartesian
0.000 0.000 0.000
0.000 0.000 3.604
3.077 1.249 5.406
3.077 -1.249 1.802
3.077 1.715 1.802
3.077 -1.715 5.406
1.715 0.102 1.802
3.077 2.055 3.767
3.077 2.055 7.045
1.715 -0.102 5.406
4.438 0.102 1.802
3.077 -2.055 0.163
3.077 -2.055 3.441
4.438 -0.102 5.406
```

## Properties
The electronic total energy comes out at -5.73 eV/atom. Its spin magnetization is 8.7 μB/cell. Its volume is 14.670 Å³ per atom.

TaCoPtO2: optimized geometry, PBE+U.

The structure in POSCAR format:
```
TaCoPtO2
1.0
3.714 0.000 0.000
0.000 3.714 0.000
0.000 0.000 5.772
Ta Co Pt O
1 1 1 2
Cartesian
0.000 0.000 0.000
1.857 1.857 0.000
0.000 0.000 2.886
0.000 1.857 2.886
1.857 0.000 2.886
```

## Properties
The electronic total energy comes out at -5.60 eV/atom. Its spin magnetization is 0.0 μB/cell. Its volume is 15.922 Å³ per atom.

TaCoPtO6: optimized geometry, PBE+U.

The structure in POSCAR format:
```
TaCoPtO6
1.0
4.624 0.000 0.000
0.000 4.624 0.000
0.000 0.000 9.093
Ta Co Pt O
2 2 2 12
Cartesian
0.000 0.000 0.000
2.312 2.312 4.546
0.000 0.000 3.049
2.312 2.312 7.595
0.000 0.000 6.106
2.312 2.312 1.560
0.883 0.883 1.548
0.882 0.882 4.518
0.960 0.960 7.667
1.352 3.272 3.121
1.429 3.195 6.094
1.431 3.194 9.064
3.195 1.429 6.094
3.194 1.431 9.064
3.272 1.352 3.121
3.664 3.664 7.667
3.741 3.741 1.548
3.743 3.743 4.518
```

## Properties
The electronic total energy comes out at -7.32 eV/atom. Its spin magnetization is 0.0 μB/cell. Its volume is 10.802 Å³ per atom.

CoTc2PtO: optimized geometry, PBE+U.

The structure in POSCAR format:
```
CoTc2PtO
1.0
4.739 0.000 0.000
0.000 4.739 0.000
0.000 0.000 3.304
Co Tc Pt O
1 2 1 1
Cartesian
0.000 0.000 0.000
0.000 2.370 0.000
2.370 0.000 0.000
2.370 2.370 1.652
0.000 0.000 1.652
```

## Properties
The electronic total energy comes out at -6.48 eV/atom. Its spin magnetization is 5.7 μB/cell. Its volume is 14.840 Å³ per atom.